KRb4Mn3F12: relaxed, PBE with a Hubbard U.

Structure (CIF):
```
data_KRb4Mn3F12
_cell_length_a 8.8062
_cell_length_b 8.8062
_cell_length_c 8.8062
_cell_angle_alpha 90.00
_cell_angle_beta 90.00
_cell_angle_gamma 90.00
_space_group_name_H-M_alt 'I m -3 m'
_space_group_IT_number 229
_space_group_name_Hall '-I 4 2 3'
loop_
_atom_site_label
_atom_site_fract_x
_atom_site_fract_y
_atom_site_fract_z
K1 0.0000 0.0000 0.0000
Rb1 0.2500 0.2500 0.2500
Mn1 0.0000 0.0000 0.5000
F1 0.0000 0.0000 0.2793
F2 0.0000 0.2500 0.5000
```

**DFT total energy**: -208.6 eV/cell